MgTi2InH | PBE-GGA | relaxed

Results
- SG: No. 123
- Total DFT energy (no corrections): -0.179 Ha/atom

a = 4.0905 Å, b = 4.0905 Å, c = 4.5248 Å
α = 90.00°, β = 90.00°, γ = 90.00°
Element x y z (fractional)
Mg: 0.0000 0.0000 0.0000
Ti: 0.0000 0.5000 0.5000
Ti: 0.5000 0.0000 0.5000
In: 0.5000 0.5000 0.0000
H: 0.0000 0.0000 0.5000


BeMoOs2 | PBE-GGA | relaxed

Results
- Formation enthalpy at 0 K: 0.132 eV per atom
- SG: No. 12
- Total DFT energy (no corrections): -0.335 Ha/atom

a = 4.4494 Å, b = 4.4494 Å, c = 4.7949 Å
α = 97.51°, β = 97.51°, γ = 35.94°
Element x y z (fractional)
Be: 0.0000 0.0000 0.0000
Mo: 0.5000 0.5000 0.5000
Os: 0.2521 0.2521 0.7704
Os: 0.7479 0.7479 0.2296


PrSm3Dy8 | PBE-GGA | relaxed

Results
- Formation enthalpy at 0 K: 0.304 eV per atom
- SG: No. 71
- Total DFT energy (no corrections): -0.160 Ha/atom

a = 8.6954 Å, b = 8.6954 Å, c = 8.6954 Å
α = 136.52°, β = 98.27°, γ = 97.50°
Element x y z (fractional)
Pr: 0.0000 0.0000 0.0000
Sm: 0.2521 0.7521 0.5000
Sm: 0.5000 0.5000 0.0000
Sm: 0.7479 0.2479 0.5000
Dy: 0.0800 0.2503 0.8297
Dy: 0.2531 0.2486 0.5017
Dy: 0.2531 0.7514 0.0044
Dy: 0.4206 0.2503 0.1703
Dy: 0.5794 0.7497 0.8297
Dy: 0.7469 0.2486 0.9956
Dy: 0.7469 0.7514 0.4983
Dy: 0.9200 0.7497 0.1703


Ce2YMn | PBE-GGA | relaxed

Results
- Formation enthalpy at 0 K: 0.267 eV per atom
- SG: No. 160
- Total DFT energy (no corrections): -0.243 Ha/atom

a = 6.5469 Å, b = 6.5469 Å, c = 6.5469 Å
α = 39.20°, β = 39.20°, γ = 39.20°
Element x y z (fractional)
Ce: 0.0000 0.0000 0.0000
Ce: 0.2623 0.2623 0.2623
Y: 0.7989 0.7989 0.7989
Mn: 0.5977 0.5977 0.5977


NbAlRu | PBE-GGA | relaxed

Results
- Formation enthalpy at 0 K: -0.387 eV per atom
- SG: No. 46
- Total DFT energy (no corrections): -0.297 Ha/atom

a = 5.0715 Å, b = 5.0715 Å, c = 5.0715 Å
α = 119.21°, β = 92.50°, γ = 117.93°
Element x y z (fractional)
Nb: 0.1187 0.2500 0.3687
Nb: 0.8813 0.7500 0.6313
Al: 0.5071 0.0071 0.5000
Al: 0.5071 0.5071 0.0000
Ru: 0.4395 0.9620 0.9774
Ru: 0.9846 0.4620 0.0226


Y2Tl2Cu | PBE-GGA | relaxed

Results
- Formation enthalpy at 0 K: -0.183 eV per atom
- SG: No. 127
- Total DFT energy (no corrections): -0.167 Ha/atom

a = 7.3019 Å, b = 7.3019 Å, c = 4.7776 Å
α = 90.00°, β = 90.00°, γ = 90.00°
Element x y z (fractional)
Y: 0.1665 0.3335 0.0000
Y: 0.3335 0.8335 0.0000
Y: 0.6665 0.1665 0.0000
Y: 0.8335 0.6665 0.0000
Tl: 0.1461 0.6461 0.5000
Tl: 0.3539 0.1461 0.5000
Tl: 0.6461 0.8539 0.5000
Tl: 0.8539 0.3539 0.5000
Cu: 0.0000 0.0000 0.5000
Cu: 0.5000 0.5000 0.5000


Rb4MgSe4O14 | PBE-GGA | relaxed

Results
- SG: No. 1
- Total DFT energy (no corrections): -0.188 Ha/atom

a = 7.7867 Å, b = 7.8711 Å, c = 8.6162 Å
α = 116.81°, β = 91.46°, γ = 94.50°
Element x y z (fractional)
Rb: 0.0000 0.0000 0.0000
Rb: 0.1195 0.1497 0.5174
Rb: 0.3060 0.5418 0.1212
Rb: 0.5804 0.8822 0.5601
Mg: 0.7012 0.3840 0.3409
Se: 0.0647 0.6686 0.5660
Se: 0.4967 0.0367 0.1451
Se: 0.6352 0.4020 0.7158
Se: 0.8445 0.5687 0.0927
O: 0.1167 0.6274 0.7335
O: 0.2375 0.7265 0.4829
O: 0.4129 0.9481 0.2767
O: 0.4418 0.2700 0.2308
O: 0.4518 0.3267 0.7662
O: 0.6148 0.5155 0.5947
O: 0.6851 0.5585 0.2155
O: 0.7169 0.1001 0.2088
O: 0.7288 0.6046 0.9212
O: 0.7722 0.2406 0.6417
O: 0.9348 0.3684 0.9988
O: 0.9373 0.8480 0.6281
O: 0.9574 0.4640 0.4045
O: 0.9771 0.7645 0.1808


UTi2Ge | PBE-GGA | relaxed

Results
- Formation enthalpy at 0 K: -0.224 eV per atom
- SG: No. 123
- Total DFT energy (no corrections): -0.299 Ha/atom

a = 4.3764 Å, b = 4.3764 Å, c = 3.6226 Å
α = 90.00°, β = 90.00°, γ = 90.00°
Element x y z (fractional)
U: 0.0000 0.0000 0.0000
Ti: 0.0000 0.5000 0.5000
Ti: 0.5000 0.0000 0.5000
Ge: 0.5000 0.5000 0.0000


BaAgW | PBE-GGA | relaxed

Results
- Formation enthalpy at 0 K: 1.531 eV per atom
- SG: No. 216
- Total DFT energy (no corrections): -0.161 Ha/atom

a = 5.1712 Å, b = 5.1712 Å, c = 5.1712 Å
α = 60.00°, β = 60.00°, γ = 60.00°
Element x y z (fractional)
Ba: 0.0000 0.0000 0.0000
Ag: 0.2500 0.2500 0.2500
W: 0.5000 0.5000 0.5000


HoNi3 | PBE-GGA | relaxed

Results
- Formation enthalpy at 0 K: -0.424 eV per atom
- SG: No. 194
- Total DFT energy (no corrections): -0.217 Ha/atom

a = 4.9506 Å, b = 4.9506 Å, c = 16.1712 Å
α = 90.00°, β = 90.00°, γ = 120.00°
Element x y z (fractional)
Ho: 0.3333 0.6667 0.0418
Ho: 0.3333 0.6667 0.2500
Ho: 0.3333 0.6667 0.4582
Ho: 0.6667 0.3333 0.5418
Ho: 0.6667 0.3333 0.7500
Ho: 0.6667 0.3333 0.9582
Ni: 0.0000 0.0000 0.0000
Ni: 0.0000 0.0000 0.2500
Ni: 0.0000 0.0000 0.5000
Ni: 0.0000 0.0000 0.7500
Ni: 0.1672 0.3344 0.6266
Ni: 0.1672 0.3344 0.8734
Ni: 0.1672 0.8328 0.6266
Ni: 0.1672 0.8328 0.8734
Ni: 0.3333 0.6667 0.7500
Ni: 0.3344 0.1672 0.1266
Ni: 0.3344 0.1672 0.3734
Ni: 0.6656 0.8328 0.6266
Ni: 0.6656 0.8328 0.8734
Ni: 0.6667 0.3333 0.2500
Ni: 0.8328 0.1672 0.1266
Ni: 0.8328 0.1672 0.3734
Ni: 0.8328 0.6656 0.1266
Ni: 0.8328 0.6656 0.3734


MgBiI2N | PBE-GGA | relaxed

Results
- SG: No. 123
- Total DFT energy (no corrections): -0.103 Ha/atom

a = 6.4012 Å, b = 6.4012 Å, c = 4.2191 Å
α = 90.00°, β = 90.00°, γ = 90.00°
Element x y z (fractional)
Mg: 0.0000 0.0000 0.0000
Bi: 0.5000 0.5000 0.5000
I: 0.0000 0.5000 0.5000
I: 0.5000 0.0000 0.5000
N: 0.5000 0.5000 0.0000


Pm5Ga2Rh2 | PBE-GGA | relaxed

Results
- Formation enthalpy at 0 K: -0.545 eV per atom
- SG: No. 64
- Total DFT energy (no corrections): -0.202 Ha/atom

a = 8.5144 Å, b = 8.5144 Å, c = 8.3493 Å
α = 90.00°, β = 90.00°, γ = 49.97°
Element x y z (fractional)
Pm: 0.0000 0.0000 0.0000
Pm: 0.0333 0.7056 0.6785
Pm: 0.2056 0.5333 0.1785
Pm: 0.2944 0.9667 0.6785
Pm: 0.4667 0.7944 0.1785
Pm: 0.5000 0.5000 0.5000
Pm: 0.5333 0.2056 0.8215
Pm: 0.7056 0.0333 0.3215
Pm: 0.7944 0.4667 0.8215
Pm: 0.9667 0.2944 0.3215
Ga: 0.2100 0.2100 0.0000
Ga: 0.2900 0.2900 0.5000
Ga: 0.7100 0.7100 0.5000
Ga: 0.7900 0.7900 0.0000
Rh: 0.1272 0.8728 0.3741
Rh: 0.3728 0.6272 0.8741
Rh: 0.6272 0.3728 0.1259
Rh: 0.8728 0.1272 0.6259


Question: Among the records above, which one has the lowest total DFT energy (no corrections)?
Answer: BeMoOs2


Question: The highest total DFT energy (no corrections) belongs to which entry?
Answer: MgBiI2N


Question: Which value of total DFT energy (no corrections) does entry 7 give?
Answer: -0.188 Ha/atom


Question: Among the records above, which one has the highest total DFT energy (no corrections)?
Answer: MgBiI2N